DFT (PBE-GGA) results for crystalline Cs2BiPt2 at its relaxed geometry.

The energy of formation from the pure elements is -0.116 eV/atom. The calculation puts the total energy at -3.65 eV/atom.

The space group is Cmc2_1 (No. 36) and the conventional cell measures 4.783, 14.996 and 10.149 Å, with angles of 90.00, 90.00 and 90.00 degrees. The inequivalent atoms are Cs at (0.000, 0.121, 0.000), Cs at (0.000, 0.172, 0.646), Bi at (0.000, 0.426, 0.843), Pt at (0.000, 0.159, 0.324) and Pt at (0.000, 0.486, 0.104).


DFT (PBE-GGA) results for crystalline EuErPu at its relaxed geometry.

The energy of formation from the pure elements is 0.202 eV/atom. The calculation puts the total energy at -9.52 eV/atom.

The space group is I4mm (No. 107) and the conventional cell measures 3.521, 3.521 and 15.362 Å, with angles of 90.00, 90.00 and 90.00 degrees. The inequivalent atoms are Eu at (0.000, 0.000, 0.000), Er at (0.000, 0.000, 0.326) and Pu at (0.000, 0.000, 0.675).


DFT (PBE-GGA) results for crystalline Ac2NpZn2N6 at its relaxed geometry.

As for the uncorrected formation energy: -0.53 eV/atom. The calculation puts the total energy at -7.23 eV/atom.

The space group is R-3m (No. 166, hexagonal axes) and the conventional cell measures 6.0097, 6.0097 and 16.5052 Å, with angles of 90.00, 90.00 and 120.00 degrees. The inequivalent atoms are Ac at (0.0000, 0.0000, 0.2138), Np at (0.0000, 0.0000, 0.0000), Zn at (0.0000, 0.0000, 0.4181) and N at (0.0316, 0.5158, 0.7517).


DFT (PBE-GGA) results for crystalline LiPaInAu at its relaxed geometry.

The energy of formation from the pure elements is -0.150 eV/atom. The calculation puts the total energy at -4.51 eV/atom.

The space group is F-43m (No. 216) and the conventional cell measures 7.077, 7.077 and 7.077 Å, with angles of 90.00, 90.00 and 90.00 degrees. The inequivalent atoms are Li at (0.000, 0.000, 0.000), Pa at (0.000, 0.000, 0.500), In at (0.250, 0.250, 0.750) and Au at (0.250, 0.250, 0.250).


DFT (PBE-GGA) results for crystalline Nd4Ni2Ag5 at its relaxed geometry.

The energy of formation from the pure elements is -0.262 eV/atom. The calculation puts the total energy at -4.34 eV/atom.

The space group is P2/m (No. 10) and the conventional cell measures 7.413, 3.949 and 8.780 Å, with angles of 90.00, 94.41 and 90.00 degrees. The inequivalent atoms are Nd at (0.195, 0.000, 0.351), Nd at (0.230, 0.000, 0.922), Ni at (0.070, 0.500, 0.131), Ag at (0.155, 0.500, 0.636), Ag at (0.447, 0.500, 0.167) and Ag at (0.500, 0.500, 0.500).


DFT (PBE-GGA) results for crystalline LaAlSb2 at its relaxed geometry.

As for the uncorrected formation energy: -0.49 eV/atom. The calculation puts the total energy at -4.71 eV/atom.

The space group is Pm (No. 6) and the conventional cell measures 4.266, 4.543 and 6.711 Å, with angles of 90.00, 108.14 and 90.00 degrees. The inequivalent atoms are La at (0.000, 0.000, 0.000), Al at (0.380, 0.500, 0.749), Sb at (0.258, 0.000, 0.532) and Sb at (0.580, 0.500, 0.163).


DFT (PBE-GGA) results for crystalline CrCoRe2 at its relaxed geometry.

The energy of formation from the pure elements is 0.087 eV/atom. The calculation puts the total energy at -10.32 eV/atom.

The space group is Cmmm (No. 65) and the conventional cell measures 5.329, 7.411 and 2.652 Å, with angles of 90.00, 90.00 and 90.00 degrees. The inequivalent atoms are Cr at (0.000, 0.000, 0.000), Co at (0.000, 0.500, 0.000) and Re at (0.250, 0.250, 0.500).


DFT (PBE-GGA) results for crystalline CaTbPr2Nd6 at its relaxed geometry.

The energy of formation from the pure elements is 0.122 eV/atom. The calculation puts the total energy at -4.36 eV/atom.

The space group is C2/c (No. 15) and the conventional cell measures 9.264, 15.676 and 10.051 Å, with angles of 90.00, 99.48 and 90.00 degrees. The inequivalent atoms are Ca at (0.000, 0.099, 0.250), Tb at (0.000, 0.479, 0.750), Pr at (0.249, 0.049, 0.958), Nd at (0.059, 0.322, 0.448), Nd at (0.109, 0.108, 0.624) and Nd at (0.195, 0.274, 0.823).


DFT (PBE-GGA) results for crystalline NaDySc at its relaxed geometry.

The energy of formation from the pure elements is 0.413 eV/atom. The calculation puts the total energy at -3.67 eV/atom.

The space group is P4/nmm (No. 129, origin choice 2) and the conventional cell measures 4.051, 4.051 and 11.938 Å, with angles of 90.00, 90.00 and 90.00 degrees. The inequivalent atoms are Na at (0.250, 0.250, 0.080), Dy at (0.250, 0.250, 0.723) and Sc at (0.250, 0.750, 0.500).


DFT (PBE-GGA) results for crystalline KPdCl at its relaxed geometry.

As for the uncorrected formation energy: -0.79 eV/atom. The calculation puts the total energy at -3.50 eV/atom.

The space group is P2_1/m (No. 11) and the conventional cell measures 6.217, 3.784 and 7.020 Å, with angles of 90.00, 100.37 and 90.00 degrees. The inequivalent atoms are K at (0.214, 0.250, 0.291), Pd at (0.414, 0.250, 0.880) and Cl at (0.268, 0.750, 0.657).


DFT (PBE-GGA) results for crystalline VSiP at its relaxed geometry.

As for the uncorrected formation energy: -0.01 eV/atom. The calculation puts the total energy at -6.66 eV/atom.

The space group is P-6m2 (No. 187) and the conventional cell measures 3.9935, 3.9935 and 3.0717 Å, with angles of 90.00, 90.00 and 120.00 degrees. The inequivalent atoms are V at (0.0000, 0.0000, 0.0000), Si at (0.6667, 0.3333, 0.5000) and P at (0.3333, 0.6667, 0.0000).


DFT (PBE-GGA) results for crystalline NdErC at its relaxed geometry.

The energy of formation from the pure elements is -0.194 eV/atom. The calculation puts the total energy at -6.38 eV/atom.

The space group is P2_1/m (No. 11) and the conventional cell measures 6.302, 3.614 and 6.729 Å, with angles of 90.00, 108.95 and 90.00 degrees. The inequivalent atoms are Nd at (0.005, 0.250, 0.276), Er at (0.489, 0.250, 0.707) and C at (0.262, 0.750, 0.504).